Entry 1:
This record from Alexandria via LeMat-Bulk describes a relaxed CsKHg2Bi crystal. The functional is PBE.

Cell: 6.1026 6.1026 6.5694 Å, 90.00 90.00 90.00°
Atoms (fractional coordinates):
Cs1 0.5000 0.5000 0.5000
K1 0.0000 0.0000 0.5000
Bi1 0.0000 0.0000 0.0000
Hg1 0.0000 0.5000 0.0000
Hg2 0.5000 0.0000 0.0000

Summary:
- E_tot: -0.0513 hartree per atom
- DOS(E_F): 0.439 states/eV/atom

***

Entry 2:
This record from Alexandria via LeMat-Bulk describes a relaxed CsK2HgBi2 crystal. The functional is PBE.

Cell: 8.0188 10.0115 9.5491 Å, 121.62 114.83 90.00°
Atoms (fractional coordinates):
Cs1 0.2500 0.0000 0.0000
Cs2 0.7500 0.0000 0.0000
K1 0.6739 0.8331 0.3478
K2 0.1739 0.5147 0.3478
K3 0.8261 0.4853 0.6522
K4 0.3261 0.1669 0.6522
Hg1 0.7500 0.5000 0.0000
Hg2 0.2500 0.5000 0.0000
Bi1 0.4039 0.5878 0.8078
Bi2 0.5961 0.4122 0.1922
Bi3 0.0961 0.7800 0.1922
Bi4 0.9039 0.2200 0.8078

Summary:
- E_tot: -0.0770 hartree per atom
- DOS(E_F): 1.044 states/eV/atom

***

Entry 3:
This record from Alexandria via LeMat-Bulk describes a relaxed CsK2HgBi crystal. The functional is PBE.

Cell: 6.8905 6.8905 7.6248 Å, 90.00 90.00 90.00°
Atoms (fractional coordinates):
Cs1 0.0000 0.0000 0.5000
K1 0.0000 0.5000 0.0000
K2 0.5000 0.0000 0.0000
Bi1 0.0000 0.0000 0.0000
Hg1 0.5000 0.5000 0.5000

Summary:
- E_tot: -0.0599 hartree per atom
- DOS(E_F): 0.305 states/eV/atom